Record 1
First-principles (PBE-GGA) data for a geometry-optimized KMnAg2Te4 structure, as listed in Alexandria.

## Properties
- symmetry = I-42m (121)
- formation energy without anion corrections (eV per atom) = -0.1828

abc: 7.1537 7.1537 7.1537
angles: 117.84 117.84 93.78
With the nearest neighbours (Å) after each atom.
Atoms (fractional coordinates):
K 0.0000 0.0000 0.0000  8 Te 3.58-3.88
Mn 0.5000 0.5000 0.0000  4 Te 2.53
Ag 0.2500 0.7500 0.5000  4 Te 2.83
Ag 0.7500 0.2500 0.5000  4 Te 2.83
Te 0.1499 0.5319 0.0000  1 Mn 2.53, 2 Ag 2.83
Te 0.4681 0.4681 0.6179  1 Mn 2.53, 2 Ag 2.83
Te 0.5319 0.1499 0.0000  1 Mn 2.53, 2 Ag 2.83
Te 0.8501 0.8501 0.3821  1 Mn 2.53, 2 Ag 2.83

Record 2
First-principles (PBE-GGA) data for a geometry-optimized LiTlAs2 structure, as listed in Alexandria.

## Properties
- energy of formation from the pure elements (kJ/mol of formula units) = 89
- symmetry = I-42d (122)

abc: 6.8505 6.8505 6.8505
angles: 123.40 123.40 84.20
With the nearest neighbours (Å) after each atom.
Atoms (fractional coordinates):
Li 0.0000 0.0000 0.0000  4 As 2.54
Li 0.7500 0.2500 0.5000  4 As 2.54
Tl 0.2500 0.7500 0.5000  4 As 2.72
Tl 0.5000 0.5000 0.0000  4 As 2.72
As 0.1024 0.6250 0.9774  2 Li 2.54, 2 Tl 2.72
As 0.3750 0.3524 0.4774  2 Li 2.54, 2 Tl 2.72
As 0.6476 0.1250 0.0226  2 Li 2.54, 2 Tl 2.72
As 0.8750 0.8976 0.5226  2 Li 2.54, 2 Tl 2.72